[1]
Material: CaTa2Cl
Method: DFT, PBE-GGA
State: relaxed

The structure belongs to space group I-42d (No. 122); the cell edges are 3.803, 3.803 and 26.589 Å and the angles 90.00°, 90.00° and 90.00°. The asymmetric unit holds Ca at (0.000, 0.000, 0.000), Ta at (0.243, 0.750, 0.125) and Cl at (0.000, 0.000, 0.500).

For the raw formation energy, the calculation gives 101 kJ/mol of formula units. As for the density: 7.56 Mg/m³. The value obtained for the raw total energy is -0.243 Ha/atom. The calculation puts the energy above the most stable polymorph in this dataset at 36.79 kJ per mole of atoms. Its crystal system is tetragonal.

[2]
Material: CaTa3Cl
Method: DFT, PBE-GGA
State: relaxed

The structure belongs to space group Pm-3m (No. 221); the cell edges are 4.678, 4.678 and 4.678 Å and the angles 90.00°, 90.00° and 90.00°. The asymmetric unit holds Ca at (0.000, 0.000, 0.000), Ta at (0.000, 0.500, 0.500) and Cl at (0.500, 0.500, 0.500).

For the raw formation energy, the calculation gives 412 kJ/mol of formula units. As for the density: 10.03 Mg/m³. The value obtained for the raw total energy is -0.258 Ha/atom. The calculation puts the energy above the most stable polymorph in this dataset at 0.00 kJ per mole of atoms. Its crystal system is cubic.

[3]
Material: CaTaCl2
Method: DFT, PBE-GGA
State: relaxed

The structure belongs to space group R-3m (No. 166, hexagonal axes); the cell edges are 3.2897, 3.2897 and 29.7827 Å and the angles 90.00°, 90.00° and 120.00°. The asymmetric unit holds Ca at (0.0000, 0.0000, 0.0000), Ta at (0.0000, 0.0000, 0.5000) and Cl at (0.0000, 0.0000, 0.2264).

For the raw formation energy, the calculation gives -119 kJ/mol of formula units. As for the density: 5.21 Mg/m³. The value obtained for the raw total energy is -0.173 Ha/atom. The calculation puts the energy above the most stable polymorph in this dataset at 37.13 kJ per mole of atoms. Its crystal system is trigonal.

[4]
Material: CaTa2Cl
Method: DFT, PBE-GGA
State: relaxed

The structure belongs to space group F222 (No. 22); the cell edges are 6.871, 6.903 and 6.917 Å and the angles 90.00°, 90.00° and 90.00°. The asymmetric unit holds Ca at (0.000, 0.000, 0.000), Ta at (0.000, 0.000, 0.500), Ta at (0.250, 0.250, 0.750) and Cl at (0.250, 0.250, 0.250).

For the raw formation energy, the calculation gives 301 kJ/mol of formula units. As for the density: 8.86 Mg/m³. The value obtained for the raw total energy is -0.224 Ha/atom. The calculation puts the energy above the most stable polymorph in this dataset at 86.74 kJ per mole of atoms. Its crystal system is orthorhombic.

[5]
Material: CaTaCl6
Method: DFT, PBE-GGA
State: relaxed

The structure belongs to space group R-3 (No. 148, hexagonal axes); the cell edges are 6.5602, 6.5602 and 17.8151 Å and the angles 90.00°, 90.00° and 120.00°. The asymmetric unit holds Ca at (0.0000, 0.0000, 0.0000), Ta at (0.0000, 0.0000, 0.5000) and Cl at (0.0007, 0.3024, 0.5782).

For the raw formation energy, the calculation gives -1245 kJ/mol of formula units. As for the density: 3.25 Mg/m³. The value obtained for the raw total energy is -0.174 Ha/atom. Its crystal system is trigonal.

[6]
Material: CaTaCl2
Method: DFT, PBE-GGA
State: relaxed

The structure belongs to space group P4/mmm (No. 123); the cell edges are 3.213, 3.213 and 11.324 Å and the angles 90.00°, 90.00° and 90.00°. The asymmetric unit holds Ca at (0.000, 0.000, 0.000), Ta at (0.000, 0.000, 0.500) and Cl at (0.500, 0.500, 0.143).

For the raw formation energy, the calculation gives -139 kJ/mol of formula units. As for the density: 4.15 Mg/m³. The value obtained for the raw total energy is -0.174 Ha/atom. The calculation puts the energy above the most stable polymorph in this dataset at 32.09 kJ per mole of atoms. Its crystal system is tetragonal.

[7]
Material: CaTaCl2
Method: DFT, PBE-GGA
State: relaxed

The structure belongs to space group Imm2 (No. 44); the cell edges are 3.182, 3.221 and 19.223 Å and the angles 90.00°, 90.00° and 90.00°. The asymmetric unit holds Ca at (0.000, 0.000, 0.000), Ta at (0.000, 0.500, 0.145), Cl at (0.000, 0.000, 0.420) and Cl at (0.000, 0.500, 0.720).

For the raw formation energy, the calculation gives -238 kJ/mol of formula units. As for the density: 4.92 Mg/m³. The value obtained for the raw total energy is -0.184 Ha/atom. The calculation puts the energy above the most stable polymorph in this dataset at 7.32 kJ per mole of atoms. Its crystal system is orthorhombic.

[8]
Material: CaTa2Cl
Method: DFT, PBE-GGA
State: relaxed

The structure belongs to space group P4/mmm (No. 123); the cell edges are 5.281, 5.281 and 3.005 Å and the angles 90.00°, 90.00° and 90.00°. The asymmetric unit holds Ca at (0.000, 0.000, 0.000), Ta at (0.000, 0.500, 0.500) and Cl at (0.500, 0.500, 0.000).

For the raw formation energy, the calculation gives 479 kJ/mol of formula units. As for the density: 8.67 Mg/m³. The value obtained for the raw total energy is -0.208 Ha/atom. The calculation puts the energy above the most stable polymorph in this dataset at 131.16 kJ per mole of atoms. Its crystal system is tetragonal.

[9]
Material: CaTa2Cl
Method: DFT, PBE-GGA
State: relaxed

The structure belongs to space group Pmmm (No. 47); the cell edges are 3.193, 4.364 and 6.875 Å and the angles 90.00°, 90.00° and 90.00°. The asymmetric unit holds Ca at (0.000, 0.000, 0.000), Ta at (0.000, 0.500, 0.500), Ta at (0.500, 0.000, 0.500) and Cl at (0.500, 0.500, 0.000).

For the raw formation energy, the calculation gives 69 kJ/mol of formula units. As for the density: 7.58 Mg/m³. The value obtained for the raw total energy is -0.247 Ha/atom. The calculation puts the energy above the most stable polymorph in this dataset at 28.82 kJ per mole of atoms. Its crystal system is orthorhombic.

[10]
Material: CaTa2Cl
Method: DFT, PBE-GGA
State: relaxed

The structure belongs to space group Amm2 (No. 38); the cell edges are 3.373, 3.477 and 15.488 Å and the angles 90.00°, 90.00° and 90.00°. The asymmetric unit holds Ca at (0.000, 0.000, 0.000), Ta at (0.000, 0.000, 0.229), Ta at (0.500, 0.000, 0.649) and Cl at (0.500, 0.000, 0.389).

For the raw formation energy, the calculation gives -46 kJ/mol of formula units. As for the density: 8.00 Mg/m³. The value obtained for the raw total energy is -0.258 Ha/atom. The calculation puts the energy above the most stable polymorph in this dataset at 0.00 kJ per mole of atoms. Its crystal system is orthorhombic.

[11]
Material: CaTaCl2
Method: DFT, PBE-GGA
State: relaxed

The structure belongs to space group R-3m (No. 166, hexagonal axes); the cell edges are 3.3082, 3.3082 and 26.6905 Å and the angles 90.00°, 90.00° and 120.00°. The asymmetric unit holds Ca at (0.0000, 0.0000, 0.0000), Ta at (0.0000, 0.0000, 0.5000) and Cl at (0.0000, 0.0000, 0.4065).

For the raw formation energy, the calculation gives -214 kJ/mol of formula units. As for the density: 5.75 Mg/m³. The value obtained for the raw total energy is -0.182 Ha/atom. The calculation puts the energy above the most stable polymorph in this dataset at 13.49 kJ per mole of atoms. Its crystal system is trigonal.

[12]
Material: Ca2TaCl4
Method: DFT, PBE-GGA
State: relaxed

The structure belongs to space group I4/mmm (No. 139); the cell edges are 4.861, 4.861 and 14.232 Å and the angles 90.00°, 90.00° and 90.00°. The asymmetric unit holds Ca at (0.000, 0.000, 0.125), Ta at (0.000, 0.000, 0.500), Cl at (0.000, 0.000, 0.316) and Cl at (0.000, 0.500, 0.000).

For the raw formation energy, the calculation gives -572 kJ/mol of formula units. As for the density: 3.98 Mg/m³. The value obtained for the raw total energy is -0.153 Ha/atom. Its crystal system is tetragonal.

[13]
Material: CaTa4Cl
Method: DFT, PBE-GGA
State: relaxed

The structure belongs to space group F-43m (No. 216); the cell edges are 8.110, 8.110 and 8.110 Å and the angles 90.00°, 90.00° and 90.00°. The asymmetric unit holds Ca at (0.000, 0.000, 0.000), Ta at (0.130, 0.130, 0.370) and Cl at (0.250, 0.250, 0.750).

For the raw formation energy, the calculation gives 453 kJ/mol of formula units. As for the density: 9.95 Mg/m³. The value obtained for the raw total energy is -0.285 Ha/atom. Its crystal system is cubic.

[14]
Material: CaTaTi2Cl
Method: DFT, PBE-GGA
State: relaxed

The structure belongs to space group P4/mmm (No. 123); the cell edges are 4.557, 4.557 and 4.902 Å and the angles 90.00°, 90.00° and 90.00°. The asymmetric unit holds Ca at (0.000, 0.000, 0.000), Ta at (0.500, 0.500, 0.000), Ti at (0.000, 0.500, 0.500) and Cl at (0.000, 0.000, 0.500).

For the raw formation energy, the calculation gives 177 kJ/mol of formula units. As for the density: 5.75 Mg/m³. The value obtained for the raw total energy is -0.218 Ha/atom. Its crystal system is tetragonal.

[15]
Material: CaZr2TaCl
Method: DFT, PBE-GGA
State: relaxed

The structure belongs to space group P4/mmm (No. 123); the cell edges are 5.206, 5.206 and 5.273 Å and the angles 90.00°, 90.00° and 90.00°. The asymmetric unit holds Ca at (0.000, 0.000, 0.000), Zr at (0.000, 0.500, 0.500), Ta at (0.500, 0.500, 0.500) and Cl at (0.500, 0.500, 0.000).

For the raw formation energy, the calculation gives 306 kJ/mol of formula units. As for the density: 5.10 Mg/m³. The value obtained for the raw total energy is -0.218 Ha/atom. Its crystal system is tetragonal.